Record 1
Compound: LiMnGaO2
Source: the Alexandria database
Functional: GGA-PBEsol
Structure: optimized geometry

Results
Energy relative to the elements, uncorrected: 23 meV/atom
Uncorrected energy: -25.45 eV/cell
Space group: P4/mmm, No. 123

Cell: 3.9317 3.7852 3.7852 Å, 90.00 90.00 90.00°
Last column: magnetic moment on the atom in μB.
Fractional positions:
Mn: 0.5000 0.5000 0.5000  4.17
O: 0.0000 0.0000 0.5000  0.04
O: 0.0000 0.5000 0.0000  0.04
Ga: 0.5000 0.0000 0.0000  0.02
Li: 0.0000 0.0000 0.0000  0.00


Record 2
Compound: LiGaMoSe2
Source: the Alexandria database
Functional: GGA-PBEsol
Structure: optimized geometry

Results
Energy relative to the elements, uncorrected: 590 meV/atom
Uncorrected energy: -21.83 eV/cell
Space group: P4/mmm, No. 123

Cell: 4.2088 4.7169 4.7169 Å, 90.00 90.00 90.00°
Last column: magnetic moment on the atom in μB.
Fractional positions:
Mo: 0.5000 0.5000 0.5000  3.24
Ga: 0.5000 0.0000 0.0000  0.05
Se: 0.0000 0.0000 0.5000  -0.07
Se: 0.0000 0.5000 0.0000  -0.07
Li: 0.0000 0.0000 0.0000  0.01